No. 1
DFT (PBE) results for BaHfI2 after structural relaxation.

Structure (POSCAR):
```
BaHfI2
1.0
0.000 3.998 3.998
3.998 0.000 3.998
3.998 3.998 0.000
Hf Ba I
1 1 2
direct
0.500 0.500 0.500
0.000 0.000 0.000
0.250 0.250 0.250
0.750 0.750 0.750
```

Excess energy over the best structure of this formula in the dataset   0.0000 eV/atom
Formation energy without anion corrections   -161.9 meV/atom

No. 2
DFT (PBE) results for RbNa2As after structural relaxation.

Structure (POSCAR):
```
RbNa2As
1.0
5.126 0.000 0.000
2.563 4.439 0.000
2.563 1.480 6.285
Na As Rb
2 1 1
direct
0.306 0.306 0.082
0.021 0.021 0.937
0.683 0.683 0.950
0.490 0.490 0.531
```

Energy of formation from the pure elements   -0.35 eV per atom

No. 3
DFT (PBE) results for ZrMnRe after structural relaxation.

Structure (POSCAR):
```
ZrMnRe
1.0
-2.677 -1.528 3.158
2.138 -2.820 -2.636
2.163 -0.050 1.809
Re Zr Mn
1 1 1
direct
0.333 0.667 0.304
0.667 0.333 0.670
0.000 0.000 0.027
```

Excess energy over the best structure of this formula in the dataset   0.4477 eV/atom
Energy of formation from the pure elements   0.15 eV per atom

No. 4
DFT (PBE) results for NaNpNO after structural relaxation.

Structure (POSCAR):
```
NaNpNO
1.0
3.496 0.000 0.000
1.748 3.027 0.000
1.748 1.009 5.671
N Na O Np
1 1 1 1
direct
0.269 0.269 0.194
0.501 0.501 0.498
0.734 0.734 0.799
0.997 0.997 0.009
```

Formation energy without anion corrections   -1571.2 meV/atom